GdGe2Rh2 SCAN PBEsol geometry; density = 9.84 Mg/m³; electronic total energy = -33.926 eV per atom; total moment = 7.29 μB/cell; N(E_F) = 1.84 states/eV/f.u.; calculated formation energy = -1.019 eV/atom
1.0
-2.985 -0.180 -2.782
-1.453 -3.377 1.778
-0.777 4.663 3.530
Gd Ge Rh
1 2 2
Direct
0.000 0.000 0.000
0.378 0.378 0.757
0.622 0.622 0.243
0.250 0.750 0.500
0.750 0.250 0.500

Gd4Ge3S12 SCAN PBEsol geometry; density = 5.12 Mg/m³; electronic total energy = -22.862 eV per atom; total moment = 27.97 μB/cell; N(E_F) = 0.00 states/eV/f.u.; formation energy from raw total energies = -1.3850 eV/atom
1.0
-3.811 -3.878 -5.463
4.523 -8.159 6.262
-8.092 5.924 5.065
Gd Ge S
8 6 24
Direct
0.497 0.000 0.000
0.997 0.000 0.000
0.941 0.464 0.221
0.720 0.779 0.242
0.477 0.758 0.536
0.441 0.221 0.464
0.977 0.536 0.758
0.220 0.242 0.779
0.645 0.175 0.789
0.856 0.211 0.386
0.470 0.614 0.825
0.145 0.789 0.175
0.970 0.825 0.614
0.356 0.386 0.211
0.878 0.602 0.072
0.807 0.928 0.530
0.276 0.470 0.398
0.378 0.072 0.602
0.776 0.398 0.470
0.307 0.530 0.928
0.683 0.992 0.812
0.870 0.188 0.180
0.691 0.820 0.008
0.183 0.812 0.992
0.191 0.008 0.820
0.370 0.180 0.188
0.586 0.293 0.980
0.606 0.020 0.314
0.293 0.686 0.707
0.086 0.980 0.293
0.793 0.707 0.686
0.106 0.314 0.020
0.356 0.715 0.264
0.091 0.736 0.450
0.641 0.550 0.285
0.856 0.264 0.715
0.141 0.285 0.550
0.591 0.450 0.736

GdSnGe SCAN PBEsol geometry; density = 8.31 Mg/m³; electronic total energy = -38.598 eV per atom; total moment = 14.32 μB/cell; N(E_F) = 1.26 states/eV/f.u.; calculated formation energy = -0.657 eV/atom
1.0
4.028 0.000 0.000
0.000 4.279 0.000
0.000 2.140 8.080
Gd Sn Ge
2 2 2
Direct
0.250 0.406 0.189
0.750 0.594 0.811
0.250 0.756 0.489
0.750 0.244 0.511
0.250 0.053 0.894
0.750 0.947 0.106

Gd3Zn5Ge SCAN PBEsol geometry; density = 8.24 Mg/m³; electronic total energy = -29.677 eV per atom; total moment = 22.53 μB/cell; N(E_F) = 2.99 states/eV/f.u.; calculated formation energy = -0.443 eV/atom
1.0
-3.146 -0.578 -2.506
-2.945 -4.369 4.705
-1.440 6.912 0.214
Gd Zn Ge
3 5 1
Direct
0.000 0.415 0.415
0.000 0.000 0.585
0.000 0.585 0.000
0.500 0.751 0.751
0.500 0.000 0.249
0.500 0.249 0.000
0.500 0.667 0.333
0.500 0.333 0.667
0.000 0.000 0.000

GdZnGe SCAN PBEsol geometry; density = 8.21 Mg/m³; electronic total energy = -31.197 eV per atom; total moment = 15.33 μB/cell; N(E_F) = 1.29 states/eV/f.u.; calculated formation energy = -0.724 eV/atom
1.0
4.154 0.000 0.000
-2.077 3.598 0.000
0.000 0.000 7.996
Ge Gd Zn
2 2 2
Direct
0.333 0.667 0.750
0.667 0.333 0.250
0.000 0.000 0.000
0.000 0.000 0.500
0.333 0.667 0.250
0.667 0.333 0.750

GdH3 SCAN PBEsol geometry; density = 7.10 Mg/m³; electronic total energy = -17.952 eV per atom; total moment = 42.00 μB/cell; N(E_F) = 0.04 states/eV/f.u.
1.0
6.316 0.000 0.000
-3.158 5.470 0.000
0.000 0.000 6.515
Gd H
6 18
Direct
0.665 0.665 0.750
0.000 0.335 0.750
0.335 0.000 0.750
0.335 0.335 0.250
0.000 0.665 0.250
0.665 0.000 0.250
0.000 0.000 0.750
0.000 0.000 0.250
0.667 0.333 0.823
0.333 0.667 0.677
0.333 0.667 0.177
0.667 0.333 0.323
0.656 0.980 0.905
0.323 0.344 0.905
0.020 0.677 0.905
0.980 0.656 0.595
0.344 0.323 0.595
0.677 0.020 0.595
0.344 0.020 0.095
0.677 0.656 0.095
0.980 0.323 0.095
0.020 0.344 0.405
0.656 0.677 0.405
0.323 0.980 0.405

GdH3 SCAN PBEsol geometry; density = 7.02 Mg/m³; electronic total energy = -17.948 eV per atom; total moment = 14.00 μB/cell; N(E_F) = 0.07 states/eV/f.u.
1.0
3.662 0.000 0.000
-1.831 3.171 0.000
0.000 0.000 6.533
Gd H
2 6
Direct
0.667 0.333 0.750
0.333 0.667 0.250
0.333 0.667 0.597
0.667 0.333 0.097
0.000 0.000 0.250
0.000 0.000 0.750
0.333 0.667 0.903
0.667 0.333 0.403

GdH2 SCAN PBEsol geometry; density = 7.50 Mg/m³; electronic total energy = -22.633 eV per atom; total moment = 7.33 μB/cell; N(E_F) = 0.72 states/eV/f.u.
1.0
-3.112 -1.717 0.960
-0.559 -3.496 -1.008
0.079 -2.679 2.524
H Gd
2 1
Direct
0.750 0.750 0.750
0.250 0.250 0.250
0.000 0.000 0.000